Below is a geometry-optimized Tb3Sm2ScS6 structure, with properties calculated at the PBE-GGA level.

The space group is C2/m (No. 12) and the conventional cell measures 17.050, 3.912 and 7.877 Å, with angles of 90.00, 103.22 and 90.00 degrees. The distinct sites, in fractional coordinates, are Tb at (0.000, 0.000, 0.000), Tb at (0.169, 0.500, 0.334), Sm at (0.166, 0.500, 0.834), Sc at (0.000, 0.000, 0.500), S at (0.003, 0.500, 0.263), S at (0.161, 0.000, 0.575) and S at (0.165, 0.000, 0.088).

The value obtained for the total energy is -6.51 eV per atom. As for the formation energy (no corrections): -1974 meV per atom. Its total magnetization is 0.000 Bohr magnetons per cell.

Below is a geometry-optimized Sm4YCo4 structure, with properties calculated at the PBE-GGA level.

The space group is P4_2/n (No. 86, origin choice 2) and the conventional cell measures 8.505, 8.505 and 5.710 Å, with angles of 90.00, 90.00 and 90.00 degrees. The distinct sites, in fractional coordinates, are Sm at (0.058, 0.676, 0.130), Y at (0.250, 0.250, 0.250) and Co at (0.013, 0.612, 0.609).

The value obtained for the total energy is -5.97 eV per atom. As for the formation energy: 0.000 eV per atom. Its total magnetization is 0.000 Bohr magnetons per cell.

Below is a geometry-optimized Cr2AgS4 structure, with properties calculated at the PBE-GGA level.

The space group is Pmmn (No. 59, origin choice 2) and the conventional cell measures 6.848, 13.111 and 5.934 Å, with angles of 90.00, 90.00 and 90.00 degrees. The distinct sites, in fractional coordinates, are Cr at (0.000, 0.000, 0.000), Cr at (0.250, 0.003, 0.495), Ag at (0.250, 0.250, 0.125), Ag at (0.250, 0.750, 0.471), S at (0.001, 0.104, 0.332), S at (0.250, 0.100, 0.835) and S at (0.250, 0.601, 0.168).

The value obtained for the total energy is -6.00 eV per atom. The distance to the lowest polymorph of the same formula is 66 meV/atom. As for the formation energy (no corrections): -480 meV per atom. Its total magnetization is 20.021 Bohr magnetons per cell.

Below is a geometry-optimized Li4MgZn4 structure, with properties calculated at the PBE-GGA level.

The space group is I4/mmm (No. 139) and the conventional cell measures 8.348, 8.348 and 4.070 Å, with angles of 90.00, 90.00 and 90.00 degrees. The distinct sites, in fractional coordinates, are Li at (0.000, 0.328, 0.000), Mg at (0.000, 0.000, 0.000) and Zn at (0.172, 0.172, 0.500).

The value obtained for the total energy is -1.74 eV per atom. As for the formation energy: -0.146 eV per atom. Its total magnetization is 0.000 Bohr magnetons per cell.

Below is a geometry-optimized PmEr2InN structure, with properties calculated at the PBE-GGA level.

The space group is P4/mmm (No. 123) and the conventional cell measures 4.780, 4.780 and 4.976 Å, with angles of 90.00, 90.00 and 90.00 degrees. The distinct sites, in fractional coordinates, are Pm at (0.000, 0.000, 0.000), Er at (0.000, 0.500, 0.500), In at (0.500, 0.500, 0.000) and N at (0.000, 0.000, 0.500).

The value obtained for the total energy is -5.95 eV per atom. As for the formation energy (no corrections): -965 meV per atom. Its total magnetization is 0.000 Bohr magnetons per cell.

Below is a geometry-optimized Er8AgSb2 structure, with properties calculated at the PBE-GGA level.

The space group is C2/m (No. 12) and the conventional cell measures 18.900, 4.928 and 6.812 Å, with angles of 90.00, 102.69 and 90.00 degrees. The distinct sites, in fractional coordinates, are Er at (0.017, 0.000, 0.268), Er at (0.093, 0.500, 0.984), Er at (0.155, 0.500, 0.515), Er at (0.214, 0.000, 0.835), Ag at (0.000, 0.500, 0.500) and Sb at (0.181, 0.000, 0.267).

The value obtained for the total energy is -4.69 eV per atom. As for the formation energy (no corrections): -360 meV per atom. Its total magnetization is 0.003 Bohr magnetons per cell.

Look up the total magnetization of the second one. 0.000 Bohr magnetons per cell

Repeat the second record exactly.
Below is a geometry-optimized Sm4YCo4 structure, with properties calculated at the PBE-GGA level.

The space group is P4_2/n (No. 86, origin choice 2) and the conventional cell measures 8.505, 8.505 and 5.710 Å, with angles of 90.00, 90.00 and 90.00 degrees. The distinct sites, in fractional coordinates, are Sm at (0.058, 0.676, 0.130), Y at (0.250, 0.250, 0.250) and Co at (0.013, 0.612, 0.609).

The value obtained for the total energy is -5.97 eV per atom. As for the formation energy: 0.000 eV per atom. Its total magnetization is 0.000 Bohr magnetons per cell.

Copy entry 6 word for word.
Below is a geometry-optimized Er8AgSb2 structure, with properties calculated at the PBE-GGA level.

The space group is C2/m (No. 12) and the conventional cell measures 18.900, 4.928 and 6.812 Å, with angles of 90.00, 102.69 and 90.00 degrees. The distinct sites, in fractional coordinates, are Er at (0.017, 0.000, 0.268), Er at (0.093, 0.500, 0.984), Er at (0.155, 0.500, 0.515), Er at (0.214, 0.000, 0.835), Ag at (0.000, 0.500, 0.500) and Sb at (0.181, 0.000, 0.267).

The value obtained for the total energy is -4.69 eV per atom. As for the formation energy (no corrections): -360 meV per atom. Its total magnetization is 0.003 Bohr magnetons per cell.